DFT (PBE) results for an optimized crystal structure of BaZnHg2.

Symmetry ... F-43m
Total energy ... -4.775 eV per formula unit

The structure in extended XYZ format:
```
4
Lattice="0.000 3.846 3.846 3.846 0.000 3.846 3.846 3.846 0.000" Properties=species:S:1:pos:R:3 pbc="T T T"
Hg 5.769 5.769 5.769
Hg 0.000 0.000 0.000
Ba 3.846 3.846 3.846
Zn 1.923 1.923 1.923
```

=====

DFT (PBE) results for an optimized crystal structure of HoNbN2O.

Symmetry ... Pmc2_1
Total energy ... -45.233 eV per formula unit

The structure in extended XYZ format:
```
10
Lattice="3.621 0.000 0.000 0.000 6.217 0.000 0.000 0.000 5.766" Properties=species:S:1:pos:R:3 pbc="T T T"
O 1.810 3.734 5.528
O 1.810 2.484 2.645
Nb 1.810 5.121 1.319
Nb 1.810 1.096 4.202
N 0.000 4.391 1.675
N 0.000 1.826 4.558
N 1.810 0.631 0.501
N 1.810 5.587 3.384
Ho 0.000 2.163 1.070
Ho 0.000 4.054 3.954
```

=====

DFT (PBE) results for an optimized crystal structure of Zr2W.

Symmetry ... P6_3/mmc
E_form ... 2.16 eV per formula unit

The structure in extended XYZ format:
```
24
Lattice="5.624 0.000 0.000 -2.812 4.870 0.000 0.000 0.000 17.593" Properties=species:S:1:pos:R:3 pbc="T T T"
Zr 0.000 1.532 4.398
Zr 0.000 3.247 6.546
Zr -1.485 4.104 4.398
Zr 2.812 0.000 8.796
Zr 2.812 1.623 15.342
Zr 1.327 0.766 13.195
Zr 0.000 3.247 2.250
Zr 4.297 0.766 13.195
Zr 2.812 3.338 13.195
Zr 2.812 0.000 0.000
Zr 1.406 2.435 0.000
Zr -1.406 2.435 0.000
Zr -1.406 2.435 8.796
Zr 2.812 1.623 11.047
Zr 1.485 4.104 4.398
Zr 1.406 2.435 8.796
W 0.000 0.000 7.220
W 0.000 0.000 10.373
W 0.000 0.000 1.577
W 2.812 1.623 2.750
W 0.000 0.000 16.016
W 2.812 1.623 6.047
W 0.000 3.247 14.843
W 0.000 3.247 11.546
```

=====

DFT (PBE) results for an optimized crystal structure of Tb2ZrSe5.

Symmetry ... Pnma
Total energy ... -48.500 eV per formula unit

The structure in extended XYZ format:
```
32
Lattice="12.198 0.000 0.000 0.000 8.114 0.000 0.000 0.000 7.638" Properties=species:S:1:pos:R:3 pbc="T T T"
Se 4.938 0.314 5.050
Se 6.134 2.029 0.375
Se 4.938 3.743 5.050
Se 6.063 6.086 7.262
Se 2.195 2.029 6.334
Se 8.647 6.086 5.282
Se 8.294 2.029 5.122
Se 7.259 4.371 2.587
Se 12.162 6.086 4.194
Se 10.002 6.086 1.304
Se 2.548 6.086 6.174
Se 3.903 6.086 2.515
Se 0.035 2.029 3.444
Se 11.037 0.314 6.406
Se 3.551 2.029 2.355
Se 9.650 2.029 1.463
Se 1.160 7.800 1.231
Se 1.160 4.371 1.231
Se 11.037 3.743 6.406
Se 7.259 7.800 2.587
Tb 10.005 0.036 3.653
Tb 2.192 4.093 3.985
Tb 2.192 8.078 3.985
Tb 8.291 8.078 7.471
Tb 8.291 4.093 7.471
Tb 3.906 4.021 0.166
Tb 3.906 0.036 0.166
Tb 10.005 4.021 3.653
Zr 6.028 6.086 4.435
Zr 12.127 6.086 7.021
Zr 6.170 2.029 3.202
Zr 0.071 2.029 0.616
```

=====

DFT (PBE) results for an optimized crystal structure of Li2PdS2.

Symmetry ... Cmc2_1
Total energy ... -21.651 eV per formula unit

The structure in extended XYZ format:
```
10
Lattice="2.385 3.991 1.315 -2.574 -1.513 -3.798 -8.547 3.682 4.327" Properties=species:S:1:pos:R:3 pbc="T T T"
Li -1.703 0.603 -1.754
Li -4.251 4.359 2.189
Li -1.115 5.012 2.601
Li -9.716 2.051 0.303
Pd -1.565 2.936 0.564
Pd -7.220 3.245 1.304
S -3.414 -0.817 -3.040
S -6.331 5.955 3.941
S -3.162 6.046 3.790
S -4.692 1.190 -0.940
```

=====

DFT (PBE) results for an optimized crystal structure of KCuCl3.

Symmetry ... Pnma
Total energy ... -15.521 eV per formula unit

The structure in extended XYZ format:
```
20
Lattice="8.492 0.000 0.000 0.000 3.984 0.000 0.000 0.000 13.945" Properties=species:S:1:pos:R:3 pbc="T T T"
Cl 5.669 0.996 6.922
Cl 4.622 0.996 12.634
Cl 8.116 2.988 5.662
Cl 0.376 0.996 8.283
Cl 6.517 0.996 2.720
Cl 7.069 2.988 13.894
Cl 6.221 2.988 9.693
Cl 1.975 2.988 11.225
Cl 1.423 0.996 0.051
Cl 2.271 0.996 4.252
Cl 2.823 2.988 7.023
Cl 3.870 2.988 1.311
Cu 1.529 0.996 6.367
Cu 2.717 2.988 13.339
Cu 6.963 2.988 7.578
Cu 5.775 0.996 0.606
K 4.788 2.988 4.477
K 7.950 0.996 11.449
K 3.704 0.996 9.468
K 0.542 2.988 2.496
```

=====

DFT (PBE) results for an optimized crystal structure of TmNbPO.

Symmetry ... P4/nmm
Total energy ... -32.883 eV per formula unit

The structure in extended XYZ format:
```
8
Lattice="3.907 0.000 0.000 0.000 3.907 0.000 0.000 0.000 8.630" Properties=species:S:1:pos:R:3 pbc="T T T"
P 1.953 0.000 2.639
P 0.000 1.953 5.991
Nb 0.000 0.000 4.315
Nb 1.953 1.953 4.315
O 1.953 1.953 0.000
O 0.000 0.000 0.000
Tm 1.953 0.000 7.579
Tm 0.000 1.953 1.051
```

=====

DFT (PBE) results for an optimized crystal structure of GdInGaAu2.

Symmetry ... P4/nmm
Total energy ... -19.815 eV per formula unit

The structure in extended XYZ format:
```
10
Lattice="4.398 0.000 0.000 0.000 4.398 0.000 0.000 0.000 11.271" Properties=species:S:1:pos:R:3 pbc="T T T"
In 0.000 0.000 5.636
In 2.199 2.199 5.636
Au 2.199 0.000 7.400
Au 0.000 0.000 0.000
Au 0.000 2.199 3.871
Au 2.199 2.199 0.000
Gd 0.000 2.199 8.705
Gd 2.199 0.000 2.566
Ga 0.000 2.199 1.403
Ga 2.199 0.000 9.868
```

=====

DFT (PBE) results for an optimized crystal structure of Ba3Mg3Cd8.

Symmetry ... Immm
Total energy ... -21.395 eV per formula unit

The structure in extended XYZ format:
```
14
Lattice="-2.568 5.115 7.608 2.568 -5.115 7.608 2.568 5.115 -7.608" Properties=species:S:1:pos:R:3 pbc="T T T"
Cd 2.568 -1.496 2.454
Cd 0.000 3.619 5.154
Cd 2.568 1.496 2.454
Cd 2.568 -2.151 5.574
Cd 0.000 2.963 2.034
Cd 0.000 7.266 2.034
Cd 2.568 2.151 5.574
Cd 0.000 6.610 5.154
Ba 0.000 0.000 10.763
Ba 0.000 0.000 0.000
Ba 0.000 0.000 4.454
Mg 0.000 1.867 7.608
Mg 0.000 5.115 0.000
Mg 2.568 3.248 0.000
```

=====

DFT (PBE) results for an optimized crystal structure of Lu3Ni2Sn3Pt.

Symmetry ... P-62m
Total energy ... -49.714 eV per formula unit

The structure in extended XYZ format:
```
9
Lattice="7.241 0.000 0.000 -3.620 6.271 0.000 0.000 0.000 3.967" Properties=species:S:1:pos:R:3 pbc="T T T"
Sn 1.958 0.000 1.984
Sn 2.641 4.575 1.984
Sn -0.979 1.696 1.984
Ni 0.000 4.180 1.984
Ni 3.620 2.090 1.984
Lu 4.303 0.000 0.000
Lu -2.152 3.727 0.000
Lu 1.469 2.544 0.000
Pt 0.000 0.000 0.000
```

=====

DFT (PBE) results for an optimized crystal structure of TmSi.

Symmetry ... P6_3/mmc
Total energy ... -11.179 eV per formula unit

The structure in extended XYZ format:
```
4
Lattice="4.429 0.000 0.000 -2.214 3.835 0.000 0.000 0.000 5.436" Properties=species:S:1:pos:R:3 pbc="T T T"
Si 0.000 0.000 2.718
Si 0.000 0.000 0.000
Tm 0.000 2.557 1.359
Tm 2.214 1.278 4.077
```

=====

DFT (PBE) results for an optimized crystal structure of NpScTe.

Symmetry ... F-43m
Total energy ... -22.335 eV per formula unit

The structure in extended XYZ format:
```
3
Lattice="-1.960 -0.380 4.476 -2.398 3.800 1.956 -4.868 -0.187 0.536" Properties=species:S:1:pos:R:3 pbc="T T T"
Sc 0.000 0.000 0.000
Np -4.613 1.616 3.484
Te -2.306 0.808 1.742
```

=====

DFT (PBE) results for an optimized crystal structure of PmGa4Pd.

Symmetry ... Cmcm
Total energy ... -25.702 eV per formula unit

The structure in extended XYZ format:
```
12
Lattice="2.156 -7.877 0.000 2.156 7.877 0.000 0.000 0.000 6.696" Properties=species:S:1:pos:R:3 pbc="T T T"
Pm 2.156 1.877 1.674
Pm 2.156 -1.877 5.022
Ga 0.000 0.000 0.000
Ga 0.000 0.000 3.348
Ga 2.156 -5.073 3.694
Ga 2.156 -1.030 1.674
Ga 2.156 5.073 0.346
Ga 2.156 -5.073 6.350
Ga 2.156 1.030 5.022
Ga 2.156 5.073 3.002
Pd 2.156 -3.502 1.674
Pd 2.156 3.502 5.022
```

=====

DFT (PBE) results for an optimized crystal structure of CsHfSi.

Symmetry ... F-43m
Total energy ... -12.705 eV per formula unit

The structure in extended XYZ format:
```
3
Lattice="1.663 -1.081 4.656 0.232 3.637 3.512 -3.230 -0.035 3.896" Properties=species:S:1:pos:R:3 pbc="T T T"
Si 0.000 0.000 0.000
Cs -0.334 0.630 3.016
Hf -1.001 1.891 9.048
```

=====

DFT (PBE) results for an optimized crystal structure of TaTlCoPt.

Symmetry ... F-43m
Total energy ... -26.293 eV per formula unit

The structure in extended XYZ format:
```
4
Lattice="-4.210 -1.702 0.102 -3.433 2.317 -1.867 -1.937 -1.499 -3.825" Properties=species:S:1:pos:R:3 pbc="T T T"
Co -7.185 -0.664 -4.192
Ta -2.395 -0.221 -1.397
Tl 0.000 0.000 0.000
Pt -4.790 -0.443 -2.795
```

=====

DFT (PBE) results for an optimized crystal structure of KNaNiW.

Symmetry ... F-43m
Total energy ... -13.244 eV per formula unit

The structure in extended XYZ format:
```
4
Lattice="0.000 3.629 3.629 3.629 0.000 3.629 3.629 3.629 0.000" Properties=species:S:1:pos:R:3 pbc="T T T"
Ni 3.629 3.629 3.629
W 0.000 0.000 0.000
K 1.814 1.814 1.814
Na 5.443 5.443 5.443
```

=====

DFT (PBE) results for an optimized crystal structure of DyNpSb.

Symmetry ... F-43m
Total energy ... -20.195 eV per formula unit

The structure in extended XYZ format:
```
3
Lattice="-3.059 1.638 3.538 -4.762 0.877 -1.053 -3.526 -2.980 1.802" Properties=species:S:1:pos:R:3 pbc="T T T"
Np -2.837 -0.116 1.072
Sb -8.511 -0.349 3.215
Dy 0.000 0.000 0.000
```

=====

DFT (PBE) results for an optimized crystal structure of CuAg4.

Symmetry ... P-1
E_form ... 0.30 eV per formula unit

The structure in extended XYZ format:
```
10
Lattice="-1.949 1.450 4.360 3.099 -3.555 1.633 4.756 5.384 -2.451" Properties=species:S:1:pos:R:3 pbc="T T T"
Ag -0.163 1.736 2.737
Ag 2.016 0.579 1.198
Ag 3.891 2.699 2.343
Ag 2.291 0.960 4.104
Ag 6.070 1.543 0.804
Ag 0.575 -1.053 2.996
Ag 1.404 3.417 0.954
Ag 3.616 2.318 -0.563
Cu 3.172 5.456 2.054
Cu 2.735 -2.178 1.487
```

=====

DFT (PBE) results for an optimized crystal structure of TbYGa2Pd4.

Symmetry ... P4/mmm
Total energy ... -44.250 eV per formula unit

The structure in extended XYZ format:
```
8
Lattice="4.696 0.000 0.000 0.000 4.696 0.000 0.000 0.000 6.645" Properties=species:S:1:pos:R:3 pbc="T T T"
Pd 0.000 2.348 1.662
Pd 0.000 2.348 4.983
Pd 2.348 0.000 4.983
Pd 2.348 0.000 1.662
Tb 0.000 0.000 3.323
Ga 0.000 0.000 0.000
Ga 2.348 2.348 3.323
Y 2.348 2.348 0.000
```

=====

DFT (PBE) results for an optimized crystal structure of LiMg2Pd.

Symmetry ... Fm-3m
Total energy ... -12.087 eV per formula unit

The structure in extended XYZ format:
```
24
Lattice="-2.616 3.021 -2.204 -3.129 -4.842 -2.923 -9.053 -0.349 10.267" Properties=species:S:1:pos:R:3 pbc="T T T"
Mg -8.127 0.069 5.011
Mg -8.328 -1.500 7.824
Mg -5.309 -1.385 4.403
Mg -5.107 0.182 1.591
Mg -4.906 1.751 -1.223
Mg -9.692 -2.352 3.549
Mg -6.873 -3.806 2.941
Mg -6.470 -0.670 -2.684
Mg -6.671 -2.239 0.129
Mg -2.090 0.300 -1.833
Mg -9.892 -3.921 6.362
Mg -3.655 -2.121 -3.295
Pd 0.000 0.000 0.000
Pd -6.036 -0.232 6.845
Pd -5.634 2.905 1.218
Pd -10.417 -1.201 5.992
Pd -7.399 -1.085 2.570
Pd -4.381 -0.969 -0.852
Li -8.852 1.219 7.455
Li -5.835 1.336 4.031
Li -1.564 -2.421 -1.462
Li -4.583 -2.536 1.960
Li -2.818 1.454 0.608
Li -10.215 0.366 3.179
```